ErGe2WO8 | Alexandria | GGA+U | optimized geometry; energy = -85.94 eV per cell; crystal system = tetragonal; space-group type = I-4m2 (119)
1.0
-3.4242 3.4242 3.1243
3.4242 -3.4242 3.1243
3.4242 3.4242 -3.1243
Er Ge W O
1 2 1 8
Direct
0.0000 0.0000 0.0000 Er
0.2500 0.7500 0.5000 Ge
0.5000 0.5000 0.0000 Ge
0.7500 0.2500 0.5000 W
0.0415 0.3671 0.3256 O
0.0415 0.7160 0.6744 O
0.1196 0.3133 0.8063 O
0.2840 0.9585 0.3256 O
0.5070 0.3133 0.1937 O
0.6329 0.9585 0.6744 O
0.6867 0.4930 0.8063 O
0.6867 0.8804 0.1937 O